Record 1
A plane-wave DFT calculation with PBE with a Hubbard U was carried out for an optimized crystal structure of LiW2O6.

Lattice parameters (Å, degrees): 3.895 5.304 6.733 65.89 73.19 68.46
Fractional positions:
O 0.698 0.670 0.934
W 0.821 0.221 0.137
O 0.302 0.330 0.066
O 0.008 0.180 0.803
O 0.992 0.820 0.197
O 0.335 0.726 0.605
Li 0.000 0.500 0.500
W 0.179 0.779 0.863
O 0.665 0.274 0.395

**E_tot**: -63.1 eV per cell

Record 2
A plane-wave DFT calculation with PBE with a Hubbard U was carried out for an optimized crystal structure of Li4WO5.

Lattice parameters (Å, degrees): 5.157 5.192 7.906 102.38 108.70 101.45
Fractional positions:
O 0.283 0.769 0.335
O 0.094 0.241 0.428
O 0.717 0.231 0.665
Li 0.307 0.994 0.609
O 0.727 0.764 0.155
O 0.910 0.215 0.042
W 0.107 0.000 0.216
Li 0.325 0.505 0.101
Li 0.693 0.006 0.391
Li 0.675 0.495 0.899
O 0.273 0.236 0.845
Li 0.500 0.000 0.000
Li 0.125 0.498 0.692
O 0.906 0.759 0.572
O 0.529 0.760 0.750
Li 0.875 0.502 0.308
W 0.893 0.000 0.784
O 0.471 0.240 0.250
O 0.090 0.785 0.958
Li 0.500 0.500 0.500

**E_tot**: -122.3 eV per cell

Record 3
A plane-wave DFT calculation with PBE with a Hubbard U was carried out for an optimized crystal structure of Li3W2O8.

Lattice parameters (Å, degrees): 4.956 5.688 6.012 118.24 107.95 90.00
Fractional positions:
O 0.573 0.108 0.737
O 0.427 0.892 0.263
O 0.125 0.376 0.752
O 0.875 0.624 0.248
O 0.573 0.629 0.737
O 0.981 0.121 0.243
Li 0.500 0.000 0.000
Li 0.000 0.728 0.000
O 0.019 0.879 0.757
W 0.339 0.268 0.535
Li 0.000 0.272 0.000
W 0.661 0.732 0.465
O 0.427 0.371 0.263

**E_tot**: -83.9 eV per cell

Record 4
A plane-wave DFT calculation with PBE with a Hubbard U was carried out for an optimized crystal structure of Li2WO4.

Lattice parameters (Å, degrees): 5.826 5.826 5.169 88.65 88.65 61.66
Fractional positions:
O 0.223 0.517 0.636
Li 0.843 0.543 0.728
W 0.837 0.163 0.250
O 0.207 0.998 0.428
O 0.517 0.223 0.136
O 0.777 0.483 0.364
Li 0.457 0.157 0.772
Li 0.157 0.457 0.272
O 0.483 0.777 0.864
O 0.002 0.793 0.072
W 0.163 0.837 0.750
O 0.998 0.207 0.928
Li 0.543 0.843 0.228
O 0.793 0.002 0.572

**E_tot**: -91.7 eV per cell

Record 5
A plane-wave DFT calculation with PBE with a Hubbard U was carried out for an optimized crystal structure of LiW2O6.

Lattice parameters (Å, degrees): 4.572 8.695 8.695 120.00 90.00 90.00
Fractional positions:
O 0.260 0.424 0.206
O 0.262 0.093 0.560
W 0.500 0.315 0.315
O 0.260 0.794 0.219
O 0.755 0.883 0.117
W 0.000 0.650 0.650
O 0.262 0.440 0.533
O 0.738 0.907 0.467
Li 0.492 0.333 0.667
O 0.245 0.117 0.235
O 0.740 0.206 0.424
O 0.740 0.576 0.781
O 0.755 0.235 0.117
Li 0.508 0.667 0.333
O 0.260 0.781 0.576
O 0.738 0.533 0.440
Li 0.000 0.000 0.000
O 0.738 0.560 0.093
W 0.500 0.685 0.000
O 0.262 0.467 0.907
O 0.740 0.219 0.794
W 0.500 0.000 0.685
O 0.755 0.883 0.765
O 0.245 0.765 0.883
W 0.000 0.000 0.350
W 0.000 0.350 0.000
O 0.245 0.117 0.883

**E_tot**: -193.0 eV per cell

Record 6
A plane-wave DFT calculation with PBE with a Hubbard U was carried out for an optimized crystal structure of Li2WO4.

Lattice parameters (Å, degrees): 9.067 9.067 9.067 107.90 107.90 107.90
Fractional positions:
O 0.689 0.029 0.993
W 0.945 0.768 0.535
O 0.654 0.959 0.640
O 0.971 0.007 0.311
O 0.681 0.382 0.720
O 0.720 0.681 0.382
O 0.280 0.319 0.618
W 0.768 0.535 0.945
O 0.618 0.280 0.319
Li 0.606 0.432 0.203
O 0.640 0.654 0.959
O 0.749 0.419 0.075
O 0.360 0.346 0.041
O 0.993 0.689 0.029
W 0.465 0.055 0.232
Li 0.797 0.394 0.568
Li 0.568 0.797 0.394
W 0.232 0.465 0.055
Li 0.107 0.871 0.276
O 0.959 0.640 0.654
O 0.029 0.993 0.689
O 0.041 0.360 0.346
O 0.581 0.925 0.251
Li 0.724 0.893 0.129
Li 0.394 0.568 0.797
W 0.055 0.232 0.465
O 0.311 0.971 0.007
O 0.319 0.618 0.280
O 0.419 0.075 0.749
Li 0.203 0.606 0.432
O 0.251 0.581 0.925
Li 0.129 0.724 0.893
O 0.382 0.720 0.681
Li 0.432 0.203 0.606
O 0.925 0.251 0.581
Li 0.893 0.129 0.724
O 0.007 0.311 0.971
O 0.075 0.749 0.419
W 0.535 0.945 0.768
O 0.346 0.041 0.360
Li 0.276 0.107 0.871
Li 0.871 0.276 0.107

**E_tot**: -274.4 eV per cell

no.,total moment (μB/cell)
1,1.0
2,0.0
3,1.0
4,0.0
5,3.0
6,0.0